[1]
Entry from Alexandria via LeMat-Bulk: a relaxed Na2NiHgBr6 crystal (PBE).

CIF file:
```
data_Na2NiHgBr6
_chemical_formula_sum 'Na6 Ni3 Hg3 Br18'
_space_group_name_H-M_alt 'R 3'
_space_group_IT_number 146
_space_group_name_Hall 'R 3'
_cell_length_a 7.2034
_cell_length_b 7.2034
_cell_length_c 18.6554
_cell_angle_alpha 90.00
_cell_angle_beta 90.00
_cell_angle_gamma 120.00
loop_
_atom_site_label
_atom_site_fract_x
_atom_site_fract_y
_atom_site_fract_z
_atom_site_occupancy
Na1 0.0000 0.0000 0.0000 1
Na2 0.0000 0.0000 0.4901 1
Ni1 0.0000 0.0000 0.7950 1
Hg1 0.0000 0.0000 0.2884 1
Br1 0.0293 0.7282 0.8799 1
Br2 0.0592 0.3481 0.3876 1
```

Uncorrected formation energy   -0.783 eV/atom
DFT total energy   -79.8 eV/cell

[2]
Entry from Alexandria via LeMat-Bulk: a relaxed EuEr2Hf crystal (PBE).

CIF file:
```
data_EuEr2Hf
_chemical_formula_sum 'Eu1 Er2 Hf1'
_space_group_name_H-M_alt 'P 4/m m m'
_space_group_IT_number 123
_space_group_name_Hall '-P 4 2'
_cell_length_a 3.425
_cell_length_b 3.425
_cell_length_c 10.246
_cell_angle_alpha 90.00
_cell_angle_beta 90.00
_cell_angle_gamma 90.00
loop_
_atom_site_label
_atom_site_fract_x
_atom_site_fract_y
_atom_site_fract_z
_atom_site_occupancy
Eu1 0.000 0.000 0.000 1
Er1 0.500 0.500 0.285 1
Hf1 0.000 0.000 0.500 1
```

ΔH_f (0 K)   123 meV per atom
DFT total energy   -28.9 eV/cell
Energy above the lowest structure with this stoichiometry   0.00 eV per formula unit

[3]
Entry from Alexandria via LeMat-Bulk: a relaxed Zn2GaNi3 crystal (PBE).

CIF file:
```
data_Zn2GaNi3
_chemical_formula_sum 'Zn2 Ga1 Ni3'
_space_group_name_H-M_alt 'P 4/m m m'
_space_group_IT_number 123
_space_group_name_Hall '-P 4 2'
_cell_length_a 2.755
_cell_length_b 2.755
_cell_length_c 9.656
_cell_angle_alpha 90.00
_cell_angle_beta 90.00
_cell_angle_gamma 90.00
loop_
_atom_site_label
_atom_site_fract_x
_atom_site_fract_y
_atom_site_fract_z
_atom_site_occupancy
Zn1 0.000 0.000 0.167 1
Ga1 0.000 0.000 0.500 1
Ni1 0.500 0.500 0.000 1
Ni2 0.500 0.500 0.338 1
```

ΔH_f (0 K)   -288 meV per atom
DFT total energy   -24.6 eV/cell
Energy above the lowest structure with this stoichiometry   0.07 eV per formula unit

[4]
Entry from Alexandria via LeMat-Bulk: a relaxed Dy5NiSe4 crystal (PBE).

CIF file:
```
data_Dy5NiSe4
_chemical_formula_sum 'Dy10 Ni2 Se8'
_space_group_name_H-M_alt 'I 4/m'
_space_group_IT_number 87
_space_group_name_Hall '-I 4'
_cell_length_a 9.073
_cell_length_b 9.073
_cell_length_c 5.782
_cell_angle_alpha 90.00
_cell_angle_beta 90.00
_cell_angle_gamma 90.00
loop_
_atom_site_label
_atom_site_fract_x
_atom_site_fract_y
_atom_site_fract_z
_atom_site_occupancy
Dy1 0.000 0.000 0.000 1
Dy2 0.096 0.720 0.500 1
Ni1 0.000 0.000 0.500 1
Se1 0.092 0.694 0.000 1
```

Uncorrected formation energy   -1.490 eV/atom
DFT total energy   -115.3 eV/cell

The records above yield Fermi-level density of states values of 0.1; 5.8; 3.4; 7.8 states/eV/f.u., respectively.
The records above yield ρ values of 4.663; 9.188; 8.530; 8.283 g/cm³, respectively.
The records above yield spin magnetization values of 5.97; 7.87; 0.00; 0.00 μB per cell, respectively.